# 1
Entry from Alexandria: a relaxed Pm3ScBi2 crystal (PBE).

```
data_Pm3ScBi2
_space_group_name_H-M_alt 'P 1'
_space_group_IT_number 1
_cell_length_a 4.574
_cell_length_b 4.574
_cell_length_c 8.768
_cell_angle_alpha 90.00
_cell_angle_beta 90.00
_cell_angle_gamma 90.00
loop_
_space_group_symop_operation_xyz
'x,y,z'
loop_
_atom_site_label
_atom_site_type_symbol
_atom_site_fract_x
_atom_site_fract_y
_atom_site_fract_z
Pm1 Pm 0.000 0.000 0.000
Pm2 Pm 0.000 0.500 0.651
Pm3 Pm 0.500 0.000 0.349
Sc1 Sc 0.500 0.500 0.000
Bi1 Bi 0.000 0.500 0.274
Bi2 Bi 0.500 0.000 0.726
```

Size of the total moment: 0.00 μB per formula unit
Calculated formation energy: -0.642 eV per atom
Energy above the most stable polymorph in this dataset: 0.0 kJ/mol of formula units
Density: 8.13 Mg/m³
DOS at the Fermi energy: 5.829 states/eV/f.u.
Space-group type: No. 115



# 2
Entry from Alexandria: a relaxed Pm12Sc5Bi3 crystal (PBE).

```
data_Pm12Sc5Bi3
_space_group_name_H-M_alt 'P 1'
_space_group_IT_number 1
_cell_length_a 15.639
_cell_length_b 15.639
_cell_length_c 15.639
_cell_angle_alpha 109.47
_cell_angle_beta 109.47
_cell_angle_gamma 109.47
loop_
_space_group_symop_operation_xyz
'x,y,z'
loop_
_atom_site_label
_atom_site_type_symbol
_atom_site_fract_x
_atom_site_fract_y
_atom_site_fract_z
Pm1 Pm 0.057 0.222 0.136
Pm2 Pm 0.057 0.335 0.921
Pm3 Pm 0.079 0.636 0.414
Pm4 Pm 0.079 0.943 0.665
Pm5 Pm 0.086 0.722 0.665
Pm6 Pm 0.086 0.864 0.421
Pm7 Pm 0.136 0.057 0.222
Pm8 Pm 0.136 0.579 0.914
Pm9 Pm 0.165 0.222 0.586
Pm10 Pm 0.165 0.443 0.579
Pm11 Pm 0.222 0.136 0.057
Pm12 Pm 0.222 0.586 0.165
Pm13 Pm 0.278 0.335 0.914
Pm14 Pm 0.278 0.443 0.364
Pm15 Pm 0.335 0.914 0.278
Pm16 Pm 0.335 0.921 0.057
Pm17 Pm 0.364 0.278 0.443
Pm18 Pm 0.364 0.586 0.921
Pm19 Pm 0.414 0.079 0.636
Pm20 Pm 0.414 0.835 0.778
Pm21 Pm 0.421 0.086 0.864
Pm22 Pm 0.421 0.835 0.557
Pm23 Pm 0.443 0.364 0.278
Pm24 Pm 0.443 0.579 0.165
Pm25 Pm 0.557 0.421 0.835
Pm26 Pm 0.557 0.636 0.722
Pm27 Pm 0.579 0.165 0.443
Pm28 Pm 0.579 0.914 0.136
Pm29 Pm 0.586 0.165 0.222
Pm30 Pm 0.586 0.921 0.364
Pm31 Pm 0.636 0.414 0.079
Pm32 Pm 0.636 0.722 0.557
Pm33 Pm 0.665 0.079 0.943
Pm34 Pm 0.665 0.086 0.722
Pm35 Pm 0.722 0.557 0.636
Pm36 Pm 0.722 0.665 0.086
Pm37 Pm 0.778 0.414 0.835
Pm38 Pm 0.778 0.864 0.943
Pm39 Pm 0.835 0.557 0.421
Pm40 Pm 0.835 0.778 0.414
Pm41 Pm 0.864 0.421 0.086
Pm42 Pm 0.864 0.943 0.778
Pm43 Pm 0.914 0.136 0.579
Pm44 Pm 0.914 0.278 0.335
Pm45 Pm 0.921 0.057 0.335
Pm46 Pm 0.921 0.364 0.586
Pm47 Pm 0.943 0.665 0.079
Pm48 Pm 0.943 0.778 0.864
Sc1 Sc 0.000 0.000 0.000
Sc2 Sc 0.000 0.000 0.500
Sc3 Sc 0.000 0.500 0.000
Sc4 Sc 0.000 0.500 0.500
Sc5 Sc 0.125 0.750 0.875
Sc6 Sc 0.125 0.875 0.250
Sc7 Sc 0.250 0.125 0.875
Sc8 Sc 0.250 0.625 0.375
Sc9 Sc 0.375 0.250 0.625
Sc10 Sc 0.375 0.625 0.750
Sc11 Sc 0.500 0.000 0.000
Sc12 Sc 0.500 0.000 0.500
Sc13 Sc 0.500 0.500 0.000
Sc14 Sc 0.500 0.500 0.500
Sc15 Sc 0.625 0.375 0.250
Sc16 Sc 0.625 0.750 0.375
Sc17 Sc 0.750 0.375 0.625
Sc18 Sc 0.750 0.875 0.125
Sc19 Sc 0.875 0.125 0.750
Sc20 Sc 0.875 0.250 0.125
Bi1 Bi 0.125 0.250 0.375
Bi2 Bi 0.125 0.375 0.750
Bi3 Bi 0.250 0.375 0.125
Bi4 Bi 0.250 0.875 0.625
Bi5 Bi 0.375 0.125 0.250
Bi6 Bi 0.375 0.750 0.125
Bi7 Bi 0.625 0.250 0.875
Bi8 Bi 0.625 0.875 0.750
Bi9 Bi 0.750 0.125 0.375
Bi10 Bi 0.750 0.625 0.875
Bi11 Bi 0.875 0.625 0.250
Bi12 Bi 0.875 0.750 0.625
```

Size of the total moment: 2.24 μB per formula unit
Calculated formation energy: 0.561 eV per atom
Density: 5.85 Mg/m³
DOS at the Fermi energy: 28.509 states/eV/f.u.
Space-group type: No. 230



# 3
Entry from Alexandria: a relaxed Pm2ScBi crystal (PBE).

```
data_Pm2ScBi
_space_group_name_H-M_alt 'P 1'
_space_group_IT_number 1
_cell_length_a 4.228
_cell_length_b 4.228
_cell_length_c 6.666
_cell_angle_alpha 90.00
_cell_angle_beta 90.00
_cell_angle_gamma 90.00
loop_
_space_group_symop_operation_xyz
'x,y,z'
loop_
_atom_site_label
_atom_site_type_symbol
_atom_site_fract_x
_atom_site_fract_y
_atom_site_fract_z
Pm1 Pm 0.000 0.000 0.245
Pm2 Pm 0.000 0.000 0.755
Sc1 Sc 0.500 0.500 0.500
Bi1 Bi 0.500 0.500 0.000
```

Size of the total moment: 0.00 μB per formula unit
Calculated formation energy: -0.389 eV per atom
Energy above the most stable polymorph in this dataset: 0.0 kJ/mol of formula units
Density: 7.58 Mg/m³
DOS at the Fermi energy: 3.585 states/eV/f.u.
Space-group type: No. 123



# 4
Entry from Alexandria: a relaxed PmScBi2 crystal (PBE).

```
data_PmScBi2
_space_group_name_H-M_alt 'P 1'
_space_group_IT_number 1
_cell_length_a 3.711
_cell_length_b 3.711
_cell_length_c 8.199
_cell_angle_alpha 90.00
_cell_angle_beta 90.00
_cell_angle_gamma 90.00
loop_
_space_group_symop_operation_xyz
'x,y,z'
loop_
_atom_site_label
_atom_site_type_symbol
_atom_site_fract_x
_atom_site_fract_y
_atom_site_fract_z
Pm1 Pm 0.000 0.000 0.000
Sc1 Sc 0.000 0.000 0.500
Bi1 Bi 0.500 0.500 0.270
Bi2 Bi 0.500 0.500 0.730
```

Size of the total moment: 0.32 μB per formula unit
Calculated formation energy: -0.541 eV per atom
Energy above the most stable polymorph in this dataset: 96.3 kJ/mol of formula units
Density: 8.94 Mg/m³
DOS at the Fermi energy: 4.668 states/eV/f.u.
Space-group type: No. 123



# 5
Entry from Alexandria: a relaxed PmScBiSe crystal (PBE).

```
data_PmScBiSe
_space_group_name_H-M_alt 'P 1'
_space_group_IT_number 1
_cell_length_a 11.122
_cell_length_b 11.122
_cell_length_c 11.122
_cell_angle_alpha 26.44
_cell_angle_beta 26.44
_cell_angle_gamma 26.44
loop_
_space_group_symop_operation_xyz
'x,y,z'
loop_
_atom_site_label
_atom_site_type_symbol
_atom_site_fract_x
_atom_site_fract_y
_atom_site_fract_z
Pm1 Pm 0.118 0.118 0.118
Pm2 Pm 0.882 0.882 0.882
Sc1 Sc 0.292 0.292 0.292
Sc2 Sc 0.708 0.708 0.708
Bi1 Bi 0.386 0.386 0.386
Bi2 Bi 0.614 0.614 0.614
Se1 Se 0.207 0.207 0.207
Se2 Se 0.793 0.793 0.793
```

Size of the total moment: 0.00 μB per formula unit
Raw formation energy: -1.069 eV/atom
Density: 6.60 Mg/m³
DOS at the Fermi energy: 3.822 states/eV/f.u.
Space-group type: No. 166



# 6
Entry from Alexandria: a relaxed Pm2SmScBi5 crystal (PBE).

```
data_Pm2SmScBi5
_space_group_name_H-M_alt 'P 1'
_space_group_IT_number 1
_cell_length_a 5.631
_cell_length_b 5.631
_cell_length_c 11.391
_cell_angle_alpha 90.00
_cell_angle_beta 90.00
_cell_angle_gamma 90.00
loop_
_space_group_symop_operation_xyz
'x,y,z'
loop_
_atom_site_label
_atom_site_type_symbol
_atom_site_fract_x
_atom_site_fract_y
_atom_site_fract_z
Pm1 Pm 0.000 0.000 0.200
Pm2 Pm 0.000 0.000 0.800
Sm1 Sm 0.500 0.500 0.000
Sc1 Sc 0.500 0.500 0.500
Bi1 Bi 0.000 0.000 0.500
Bi2 Bi 0.000 0.500 0.000
Bi3 Bi 0.500 0.000 0.000
Bi4 Bi 0.500 0.500 0.261
Bi5 Bi 0.500 0.500 0.739
```

Size of the total moment: 0.00 μB per formula unit
Calculated formation energy: 0.012 eV per atom
Density: 7.04 Mg/m³
DOS at the Fermi energy: 7.359 states/eV/f.u.
Space-group type: No. 123